Sc2CdP | the Alexandria database | meta-GGA SCAN | PBEsol geometry; calculated density = 4.647 g cm⁻³; distance to the lowest polymorph of the same formula = 0.000 eV per atom; space-group type = R-3m, No. 166; Fermi-level density of states = 2.1 states/eV/f.u.; crystal system = trigonal
1.0
-0.724 -2.106 -2.812
1.329 -3.329 -0.137
-5.887 -4.387 2.514
Cd P Sc
1 1 2
Cartesian
-2.641 -4.911 -0.218 Cd
0.000 0.000 0.000 P
-4.277 -7.500 -0.146 Sc
-1.006 -2.322 -0.290 Sc